A plane-wave DFT calculation with PBE-GGA was carried out for a relaxed structure of Zr2Pt9Au.

abc: 4.0418 4.0418 12.1460
angles: 90.00 90.00 90.00
Space group P4/mmm (No. 123)
Unique sites:
Zr (0.0000, 0.0000, 0.1713) (multiplicity 2)
Pt (0.0000, 0.5000, 0.0000) (multiplicity 2)
Pt (0.0000, 0.5000, 0.3298) (multiplicity 4)
Pt (0.5000, 0.5000, 0.1652) (multiplicity 2)
Pt (0.5000, 0.5000, 0.5000) (multiplicity 1)
Au (0.0000, 0.0000, 0.5000) (multiplicity 1)

The volume is 16.54 Å³ per atom. Its total energy is -6.93 eV per atom. The calculation puts the density of states at the Fermi level at 1.01 states/eV per atom. As for the crystal system: tetragonal.